Record 1
! LiPmIn4Rh2 (PBE, relaxed); values from VASP
&SYSTEM
  ibrav = 0, nat = 8, ntyp = 4
/
ATOMIC_SPECIES
In 114.82 In.upf
Li 6.94 Li.upf
Rh 102.91 Rh.upf
Pm 145.00 Pm.upf
CELL_PARAMETERS angstrom
4.6016 0.0000 0.0000
2.3008 3.9851 0.0000
2.3008 1.3284 8.9045
ATOMIC_POSITIONS angstrom
In 4.6016 2.6567 7.2010
In 2.3008 1.3284 5.4200
In 4.6016 2.6567 1.7035
In 6.9024 3.9851 3.4846
Li 4.6016 2.6567 4.4523
Rh 2.3008 1.3284 2.5983
Rh 6.9024 3.9851 6.3063
Pm 0.0000 0.0000 0.0000
! size of the total moment = 0.000 μB per atom
! DFT formation energy = -323 kJ/mol of formula units
! space-group type = R-3m (166)

=====

Record 2
! Sm6Dy4Tm (PBE, relaxed); values from VASP
&SYSTEM
  ibrav = 0, nat = 22, ntyp = 3
/
ATOMIC_SPECIES
Tm 168.93 Tm.upf
Sm 150.36 Sm.upf
Dy 162.50 Dy.upf
CELL_PARAMETERS angstrom
5.8211 0.0000 0.0000
-2.9105 4.8192 0.0000
0.0000 0.0000 25.6376
ATOMIC_POSITIONS angstrom
Tm 2.9105 2.7586 6.4094
Tm 0.0000 2.0606 19.2282
Sm 2.9105 3.6506 17.4990
Sm 0.0000 1.9576 15.4738
Sm 0.0000 1.1685 4.6802
Sm 2.9105 2.8616 10.1638
Sm 0.0000 1.1685 8.1386
Sm 2.9105 3.6506 20.9574
Sm 0.0000 4.3221 6.4094
Sm 0.0000 1.9576 22.9826
Sm 2.9105 0.0000 0.0000
Sm 2.9105 0.0000 12.8188
Sm 2.9105 2.8616 2.6550
Sm 2.9105 0.4971 19.2282
Dy 0.0000 1.4304 1.1246
Dy 0.0000 4.3752 9.6639
Dy 2.9105 3.3888 13.9434
Dy 0.0000 1.4304 11.6942
Dy 0.0000 4.3752 3.1549
Dy 2.9105 0.4440 15.9737
Dy 2.9105 0.4440 22.4827
Dy 2.9105 3.3888 24.5130
! size of the total moment = 0.000 μB per atom
! DFT formation energy = 129 kJ/mol of formula units
! space-group type = Cmcm (63)

=====

Record 3
! RbPbAu2 (PBE, relaxed); values from VASP
&SYSTEM
  ibrav = 0, nat = 8, ntyp = 3
/
ATOMIC_SPECIES
Au 196.97 Au.upf
Rb 85.47 Rb.upf
Pb 207.20 Pb.upf
CELL_PARAMETERS angstrom
-3.7102 -3.4555 2.0200
6.1541 -1.7114 1.0031
-0.0021 3.6509 6.2415
ATOMIC_POSITIONS angstrom
Au 3.2727 0.8169 7.4085
Au -0.8317 -0.9361 4.2440
Au -0.8309 -2.3328 1.8562
Au 3.2735 -0.5798 5.0207
Rb 1.8212 -3.7564 4.2922
Rb 0.6206 2.2405 4.9725
Pb 1.9745 -0.6672 2.4852
Pb 0.4673 -0.8487 6.7794
! size of the total moment = 0.000 μB per atom
! DFT formation energy = -58 kJ/mol of formula units
! space-group type = Cmcm (63)

=====

Record 4
! CuHgS2N (PBE, relaxed); values from VASP
&SYSTEM
  ibrav = 0, nat = 5, ntyp = 4
/
ATOMIC_SPECIES
Cu 63.55 Cu.upf
S 32.06 S.upf
Hg 200.59 Hg.upf
N 14.01 N.upf
CELL_PARAMETERS angstrom
-4.3242 -0.5010 -2.6723
2.6559 -1.8525 -3.9504
-0.4539 -3.6932 1.4268
ATOMIC_POSITIONS angstrom
Cu -1.0611 -3.0233 -2.5979
S -2.1621 -0.2505 -1.3361
S 1.3279 -0.9263 -1.9752
Hg 0.0000 0.0000 0.0000
N -0.2269 -1.8466 0.7134
! size of the total moment = 0.000 μB per atom
! E_form (uncorrected) = 1717 meV/atom
! space-group type = P4/mmm (123)

=====

Record 5
! CsK2RbIn (PBE, relaxed); values from VASP
&SYSTEM
  ibrav = 0, nat = 5, ntyp = 4
/
ATOMIC_SPECIES
K 39.10 K.upf
In 114.82 In.upf
Cs 132.91 Cs.upf
Rb 85.47 Rb.upf
CELL_PARAMETERS angstrom
-0.0226 -6.7752 2.1313
4.5276 1.6284 5.2245
-5.6346 1.4160 4.4417
ATOMIC_POSITIONS angstrom
K -0.0113 -3.3876 1.0657
K 2.2638 0.8142 2.6122
In 0.0000 0.0000 0.0000
Cs -0.5648 -1.8654 5.8987
Rb -2.8173 0.7080 2.2208
! size of the total moment = 0.000 μB per atom
! DFT formation energy = 25 kJ/mol of formula units
! space-group type = P4/mmm (123)

=====

Record 6
! MgHIr2 (PBE, relaxed); values from VASP
&SYSTEM
  ibrav = 0, nat = 8, ntyp = 3
/
ATOMIC_SPECIES
Ir 192.22 Ir.upf
H 1.01 H.upf
Mg 24.30 Mg.upf
CELL_PARAMETERS angstrom
-0.7182 4.7656 0.9356
-4.3844 -1.1082 -1.8204
-2.1007 -3.4247 2.8423
ATOMIC_POSITIONS angstrom
Ir -0.8057 1.3639 1.0705
Ir -6.8900 -0.4053 1.5735
Ir -2.5005 -0.2295 -0.5957
Ir -5.7154 -2.5657 -0.0158
H -2.0839 3.2429 0.9003
H -2.1491 0.1923 1.6322
Mg -4.1527 -0.9615 1.5980
Mg -3.7035 1.7798 1.0120
! total energy = -5.80 eV per atom
! size of the total moment = 0.000 μB per atom
! space-group type = P1 (1)

=====

Record 7
! Ac2PmAl2 (PBE, relaxed); values from VASP
&SYSTEM
  ibrav = 0, nat = 5, ntyp = 3
/
ATOMIC_SPECIES
Ac 227.00 Ac.upf
Al 26.98 Al.upf
Pm 145.00 Pm.upf
CELL_PARAMETERS angstrom
4.5456 0.0000 2.0376
1.4959 5.5903 2.7519
-0.1421 -0.0572 6.4061
ATOMIC_POSITIONS angstrom
Ac 1.3175 1.6560 3.1499
Ac 4.5819 3.8770 8.0457
Al 2.6202 1.6303 6.3330
Al 3.2793 3.9027 4.8626
Pm 0.0000 0.0000 0.0000
! size of the total moment = 0.000 μB per atom
! DFT formation energy = -99 kJ/mol of formula units
! space-group type = Immm (71)

=====

Record 8
! NbHgSe4 (PBE, relaxed); values from VASP
&SYSTEM
  ibrav = 0, nat = 12, ntyp = 3
/
ATOMIC_SPECIES
Hg 200.59 Hg.upf
Se 78.96 Se.upf
Nb 92.91 Nb.upf
CELL_PARAMETERS angstrom
-3.8232 -5.3908 0.2111
1.5579 1.2396 -7.5408
6.4614 -2.9126 2.7692
ATOMIC_POSITIONS angstrom
Hg 3.3084 -2.3574 -1.7221
Hg 0.8878 -4.7063 -2.8383
Se 0.4445 -1.9421 -5.4584
Se -0.1396 -3.9611 0.0370
Se 0.5774 -0.4952 -1.9541
Se 4.3358 -3.1025 -4.5974
Se 3.6188 -6.5685 -2.6063
Se 1.3707 -7.4625 1.6122
Se 3.7517 -5.1216 0.8980
Se 2.8255 0.3989 -6.1726
Nb 5.2317 -5.6027 -4.6174
Nb -1.0354 -1.4610 0.0570
! size of the total moment = 0.000 μB per atom
! E_form (uncorrected) = -435 meV/atom
! space-group type = P-1 (2)

=====

Record 9
! AsPdIN2 (PBE, relaxed); values from VASP
&SYSTEM
  ibrav = 0, nat = 5, ntyp = 4
/
ATOMIC_SPECIES
N 14.01 N.upf
I 126.90 I.upf
Pd 106.42 Pd.upf
As 74.92 As.upf
CELL_PARAMETERS angstrom
-2.1350 -0.1015 -3.2595
-2.5655 -2.3528 1.7536
-4.0620 6.2668 2.4656
ATOMIC_POSITIONS angstrom
N -1.2827 -1.1764 0.8768
N -1.0675 -0.0507 -1.6297
I -2.0310 3.1334 1.2328
Pd 0.0000 0.0000 0.0000
As -4.3812 1.9063 0.4798
! size of the total moment = 0.001 μB per atom
! E_form (uncorrected) = 1627 meV/atom
! space-group type = P4/mmm (123)

=====

Record 10
! Mn2VTc (PBE, relaxed); values from VASP
&SYSTEM
  ibrav = 0, nat = 4, ntyp = 3
/
ATOMIC_SPECIES
Mn 54.94 Mn.upf
V 50.94 V.upf
Tc 98.00 Tc.upf
CELL_PARAMETERS angstrom
-2.4951 -1.9069 2.6712
1.4845 -1.3586 3.5982
-1.0761 1.8714 3.5123
ATOMIC_POSITIONS angstrom
Mn -0.5217 -0.3485 2.4454
Mn -1.5650 -1.0455 7.3363
V 0.0000 0.0000 0.0000
Tc -1.0433 -0.6970 4.8909
! size of the total moment = 0.000 μB per atom
! DFT formation energy = 0 kJ/mol of formula units
! space-group type = Fm-3m (225)

=====

Record 11
! CuNiRh (PBE, relaxed); values from VASP
&SYSTEM
  ibrav = 0, nat = 3, ntyp = 3
/
ATOMIC_SPECIES
Cu 63.55 Cu.upf
Rh 102.91 Rh.upf
Ni 58.69 Ni.upf
CELL_PARAMETERS angstrom
4.1249 0.0000 0.0000
-2.0624 3.5723 0.0000
0.0000 0.0000 2.5732
ATOMIC_POSITIONS angstrom
Cu 0.0000 0.0000 0.3118
Rh 0.0000 2.3815 1.7259
Ni 2.0624 1.1908 0.5355
! size of the total moment = 0.497 μB per atom
! DFT formation energy = 40 kJ/mol of formula units
! space-group type = P3m1 (156)

=====

Record 12
! ErThMgZn (PBE, relaxed); values from VASP
&SYSTEM
  ibrav = 0, nat = 4, ntyp = 4
/
ATOMIC_SPECIES
Mg 24.30 Mg.upf
Zn 65.41 Zn.upf
Th 232.04 Th.upf
Er 167.26 Er.upf
CELL_PARAMETERS angstrom
-3.6290 2.7702 2.5501
-4.9336 -1.7211 0.2106
-1.9578 -1.7808 4.5103
ATOMIC_POSITIONS angstrom
Mg -5.2602 -0.3659 3.6355
Zn 0.0000 0.0000 0.0000
Th -7.8903 -0.5488 5.4532
Er -2.6301 -0.1829 1.8177
! size of the total moment = 0.000 μB per atom
! DFT formation energy = -33 kJ/mol of formula units
! space-group type = F-43m (216)